DFT (GGA-PBE) results for ZrTeW3 after structural relaxation.

Structure (POSCAR):
```
ZrTeW3
1.0
4.892 0.000 0.000
0.000 4.892 0.000
0.000 0.000 4.892
Zr Te W
1 1 3
Cartesian
0.000 0.000 0.000
2.446 2.446 2.446
0.000 0.000 2.446
0.000 2.446 0.000
2.446 0.000 0.000
```

M_tot, Bohr magnetons per cell: 0.000
Relative energy among the computed polymorphs, meV per atom: 471